An optimized crystal structure of TaBe3. Source: Alexandria via LeMat-Bulk, functional GGA-PBE.

Cell: 3.5370 3.5370 3.5370 Å, 90.00 90.00 90.00°
Closest atoms and distances in Å follow each position.
Element x y z (fractional)
Be 0.5000 0.0000 0.5000  4 Ta 2.50, 8 Be 2.50
Be 0.5000 0.5000 0.0000  8 Be 2.50, 4 Ta 2.50
Be 0.0000 0.5000 0.5000  8 Be 2.50, 4 Ta 2.50
Ta 0.0000 0.0000 0.0000  12 Be 2.50

Properties
- D(E_F) (states/eV per atom) = 0.38
- SG = Pm-3m (221)
- energy of formation (eV/atom) = -0.08

An optimized crystal structure of LaTbPrZn. Source: Alexandria via LeMat-Bulk, functional GGA-PBE.

Cell: 3.6735 3.6735 8.8522 Å, 90.00 90.00 90.00°
Closest atoms and distances in Å follow each position.
Element x y z (fractional)
Zn 0.0000 0.0000 0.5578  4 Tb 3.08, 4 Pr 3.23
Pr 0.5000 0.5000 0.7754  4 Zn 3.23, 1 Tb 3.58
Tb 0.5000 0.5000 0.3709  4 Zn 3.08
La 0.0000 0.0000 0.0806  4 Tb 3.65, 4 La 3.67, 4 Pr 3.75

Properties
- D(E_F) (states/eV per atom) = 1.26
- energy above the most stable polymorph in this dataset (eV per formula unit) = 0.00
- SG = P4mm (99)
- energy of formation (eV/atom) = -0.15

An optimized crystal structure of Na2Ge2Te. Source: Alexandria via LeMat-Bulk, functional GGA-PBE.

Cell: 7.4942 7.4942 4.6783 Å, 90.00 90.00 90.00°
Closest atoms and distances in Å follow each position.
Element x y z (fractional)
Na 0.3202 0.1798 0.5000  6 Ge 3.19-3.25
Na 0.1798 0.6798 0.5000  6 Ge 3.19-3.25
Na 0.8202 0.3202 0.5000  6 Ge 3.19-3.25
Na 0.6798 0.8202 0.5000  6 Ge 3.19-3.25
Ge 0.3851 0.8851 0.0000  1 Ge 2.44
Ge 0.6149 0.1149 0.0000  1 Ge 2.44
Ge 0.8851 0.6149 0.0000  1 Ge 2.44
Ge 0.1149 0.3851 0.0000  1 Ge 2.44
Te 0.0000 0.0000 0.0000  4 Ge 3.01
Te 0.5000 0.5000 0.0000  4 Ge 3.01

Properties
- energy relative to the elements, uncorrected (kJ per mole of atoms) = -11
- D(E_F) (states/eV per atom) = 0.37
- energy above the most stable polymorph in this dataset (eV per formula unit) = 0.00
- SG = P4/mbm (127)

An optimized crystal structure of Sc2AlCu. Source: Alexandria via LeMat-Bulk, functional GGA-PBE.

Cell: 8.9304 8.9304 8.9304 Å, 20.94 20.94 20.94°
Closest atoms and distances in Å follow each position.
Element x y z (fractional)
Sc 0.0126 0.0126 0.0126  3 Cu 2.75
Sc 0.2440 0.2440 0.2440  3 Al 3.01, 9 Sc 3.25-3.26
Al 0.4873 0.4873 0.4873  3 Cu 2.52
Cu 0.7561 0.7561 0.7561  3 Al 2.52, 3 Sc 2.75

Properties
- D(E_F) (states/eV per atom) = 0.70
- SG = R3m (160)
- energy of formation (eV/atom) = -0.03

| no. | total moment (μB per formula unit) |
| --- | --- |
| 1 | 0.00 |
| 2 | 0.00 |
| 3 | 0.00 |
| 4 | 0.75 |